No. 1
# Ag4Br2Cl2F

A relaxed structure of Ag4Br2Cl2F (PBE-GGA, Alexandria via LeMat-Bulk).

Cell lengths 3.7446, 9.6620, 9.1093 Å; angles 131.63, 90.00, 101.17 degrees
Fractional positions:
Ag (0.2515, 0.5031, 0.1980)
Ag (0.5345, 0.0690, 0.2110)
Cl (0.6450, 0.2900, 0.9417)
F (0.0000, 0.0000, 0.0000)
Br (0.1431, 0.2863, 0.5056)
Br (0.8569, 0.7137, 0.4944)
Ag (0.7485, 0.4969, 0.8020)
Cl (0.3550, 0.7100, 0.0583)
Ag (0.4655, 0.9310, 0.7890)

Values from the calculation:
Its crystal system is monoclinic. The calculation puts the formation energy from raw total energies at -4.4 eV per formula unit. The symmetry is No. 12. Its total energy is -2.74 eV/atom.

No. 2
# Sm8Ho2Sc

A relaxed structure of Sm8Ho2Sc (PBE-GGA, Alexandria via LeMat-Bulk).

Cell lengths 5.6412, 7.9613, 9.4181 Å; angles 115.00, 107.43, 90.00 degrees
Fractional positions:
Sm (0.8326, 0.8326, 0.6652)
Sm (0.3683, 0.1594, 0.7366)
Ho (0.1997, 0.6997, 0.3994)
Sc (0.5000, 0.0000, 0.0000)
Sm (0.0000, 0.7175, 0.0000)
Sm (0.3683, 0.5773, 0.7367)
Sm (0.0000, 0.2825, 0.0000)
Sm (0.1674, 0.1674, 0.3348)
Sm (0.6317, 0.4227, 0.2633)
Ho (0.8003, 0.3003, 0.6006)
Sm (0.6317, 0.8406, 0.2634)

Values from the calculation:
Its crystal system is orthorhombic. The symmetry is No. 71. For the energy above the most stable polymorph in this dataset, the calculation gives 0 meV/atom. Its total energy is -4.73 eV/atom.

No. 3
# Nd3Sb

A relaxed structure of Nd3Sb (PBE-GGA, Alexandria via LeMat-Bulk).

Cell lengths 6.2930, 12.8714, 12.8714 Å; angles 90.00, 90.00, 90.00 degrees
Fractional positions:
Nd (0.2265, 0.3592, 0.4719)
Nd (0.4972, 0.2173, 0.6769)
Sb (0.2803, 0.4577, 0.7015)
Nd (0.2735, 0.1408, 0.0281)
Sb (0.7803, 0.2015, 0.0423)
Nd (0.5028, 0.3231, 0.2173)
Sb (0.7803, 0.7985, 0.9577)
Nd (0.4972, 0.7827, 0.3231)
Nd (0.9761, 0.8899, 0.4172)
Nd (0.0239, 0.4172, 0.1101)
Nd (0.7265, 0.9719, 0.1408)
Nd (0.4761, 0.9172, 0.6101)
Nd (0.5239, 0.6101, 0.0828)
Nd (0.9761, 0.1101, 0.5828)
Sb (0.2197, 0.0423, 0.7985)
Nd (0.0028, 0.7173, 0.1769)
Nd (0.7735, 0.4719, 0.6408)
Sb (0.2197, 0.9577, 0.2015)
Nd (0.7265, 0.0281, 0.8592)
Nd (0.7735, 0.5281, 0.3592)
Nd (0.5239, 0.3899, 0.9172)
Nd (0.2735, 0.8592, 0.9719)
Nd (0.2265, 0.6408, 0.5281)
Nd (0.9972, 0.8231, 0.7173)
Sb (0.7197, 0.7015, 0.5423)
Nd (0.0028, 0.2827, 0.8231)
Nd (0.9972, 0.1769, 0.2827)
Nd (0.0239, 0.5828, 0.8899)
Sb (0.2803, 0.5423, 0.2985)
Nd (0.4761, 0.0828, 0.3899)
Nd (0.5028, 0.6769, 0.7827)
Sb (0.7197, 0.2985, 0.4577)

Values from the calculation:
Its crystal system is tetragonal. The calculation puts the formation energy from raw total energies at -2.5 eV per formula unit. The symmetry is No. 86. For the energy above the most stable polymorph in this dataset, the calculation gives 0 meV/atom. Its total energy is -5.22 eV/atom.

No. 4
# Mg4Mn

A relaxed structure of Mg4Mn (PBE-GGA, Alexandria via LeMat-Bulk).

Cell lengths 8.1393, 8.1393, 8.1393 Å; angles 152.39, 152.39, 39.45 degrees
Site moments in Bohr magnetons follow the coordinates.
Fractional positions:
Mn (0.0000, 0.0000, 0.0000)  3.94
Mg (0.4077, 0.4077, 0.0000)  -0.03
Mg (0.5923, 0.5923, 0.0000)  -0.03
Mg (0.7500, 0.2500, 0.5000)  -0.01
Mg (0.2500, 0.7500, 0.5000)  -0.01

Values from the calculation:
Its crystal system is tetragonal. The symmetry is No. 139. For the energy above the most stable polymorph in this dataset, the calculation gives 293 meV/atom. Its total energy is -2.65 eV/atom.

No. 5
# Cu3NiI

A relaxed structure of Cu3NiI (PBE-GGA, Alexandria via LeMat-Bulk).

Cell lengths 4.5236, 4.5236, 4.5236 Å; angles 90.00, 90.00, 90.00 degrees
Fractional positions:
I (0.5000, 0.5000, 0.5000)
Cu (0.5000, 0.0000, 0.0000)
Cu (0.0000, 0.5000, 0.0000)
Ni (0.0000, 0.0000, 0.0000)
Cu (0.0000, 0.0000, 0.5000)

Values from the calculation:
Its crystal system is cubic. The calculation puts the formation energy from raw total energies at 3.9 eV per formula unit. The symmetry is No. 221. For the energy above the most stable polymorph in this dataset, the calculation gives 0 meV/atom. Its total energy is -3.15 eV/atom.

No. 6
# La2Th2Te7

A relaxed structure of La2Th2Te7 (PBE-GGA, Alexandria via LeMat-Bulk).

Cell lengths 5.3524, 5.3524, 15.1897 Å; angles 90.00, 90.00, 90.00 degrees
Fractional positions:
Te (0.0000, 0.0000, 0.7539)
Te (0.5000, 0.5000, 0.7410)
La (0.0000, 0.5000, 0.1386)
Te (0.5000, 0.5000, 0.2590)
Th (0.5000, 0.0000, 0.3757)
Te (0.5000, 0.5000, 0.0000)
Th (0.0000, 0.5000, 0.6243)
Te (0.0000, 0.0000, 0.5000)
La (0.5000, 0.0000, 0.8614)
Te (0.5000, 0.5000, 0.5000)
Te (0.0000, 0.0000, 0.2461)

Values from the calculation:
Its crystal system is tetragonal. The calculation puts the formation energy from raw total energies at -13.6 eV per formula unit. The symmetry is No. 115. For the energy above the most stable polymorph in this dataset, the calculation gives 139 meV/atom. Its total energy is -5.48 eV/atom.

No. 7
# NaTbPtO4

A relaxed structure of NaTbPtO4 (PBE-GGA, Alexandria via LeMat-Bulk).

Cell lengths 6.4923, 6.5682, 6.9665 Å; angles 122.03, 90.00, 119.62 degrees
Fractional positions:
O (0.2454, 0.4907, 0.3057)
Tb (0.5000, 0.0000, 0.0000)
O (0.2577, 0.9582, 0.7291)
O (0.7546, 0.5093, 0.6943)
Pt (0.5000, 0.5000, 0.5000)
O (0.7423, 0.0418, 0.2709)
Na (0.1134, 0.2268, 0.8634)
Tb (0.5000, 0.0000, 0.5000)
O (0.2454, 0.4907, 0.6850)
Pt (0.0000, 0.5000, 0.5000)
O (0.7005, 0.9582, 0.7291)
O (0.7546, 0.5093, 0.3150)
Na (0.8866, 0.7732, 0.1366)
O (0.2995, 0.0418, 0.2709)

Values from the calculation:
Its crystal system is orthorhombic. The calculation puts the formation energy from raw total energies at -12.7 eV per formula unit. The symmetry is No. 74. Its total energy is -6.37 eV/atom.

No. 8
# Ho4ZnSeS2

A relaxed structure of Ho4ZnSeS2 (PBE-GGA, Alexandria via LeMat-Bulk).

Cell lengths 3.8937, 6.9651, 6.9633 Å; angles 71.64, 90.00, 90.00 degrees
Fractional positions:
Ho (0.0000, 0.7615, 0.7401)
Ho (0.5000, 0.2424, 0.7511)
Zn (0.0000, 0.5000, 0.5000)
Se (0.5000, 0.5000, 0.0000)
Ho (0.5000, 0.7576, 0.2489)
Ho (0.0000, 0.2385, 0.2599)
S (0.0000, 0.0000, 0.0000)
S (0.5000, 0.0000, 0.5000)

Values from the calculation:
Its crystal system is monoclinic. The calculation puts the formation energy from raw total energies at -11.8 eV per formula unit. The symmetry is No. 10. Its total energy is -5.40 eV/atom.

No. 9
# PmSm6Tm2

A relaxed structure of PmSm6Tm2 (PBE-GGA, Alexandria via LeMat-Bulk).

Cell lengths 6.0888, 7.5524, 7.5524 Å; angles 59.99, 89.99, 89.99 degrees
Site moments in Bohr magnetons follow the coordinates.
Fractional positions:
Pm (0.0000, 0.0000, 0.0000)  0.00
Tm (0.2197, 0.3334, 0.3334)  0.08
Sm (0.7130, 0.1885, 0.1885)  0.06
Tm (0.7803, 0.6666, 0.6666)  0.08
Sm (0.7122, 0.1880, 0.6225)  0.06
Sm (0.7122, 0.6225, 0.1880)  0.06
Sm (0.2878, 0.3775, 0.8120)  0.06
Sm (0.2870, 0.8115, 0.8115)  0.06
Sm (0.2878, 0.8120, 0.3775)  0.06

Values from the calculation:
Its crystal system is monoclinic. The symmetry is No. 12. For the energy above the most stable polymorph in this dataset, the calculation gives 197 meV/atom. Its total energy is -4.45 eV/atom.

No. 10
# Tl2Sb2As

A relaxed structure of Tl2Sb2As (PBE-GGA, Alexandria via LeMat-Bulk).

Cell lengths 7.5105, 7.5105, 5.4800 Å; angles 90.00, 90.00, 90.00 degrees
Fractional positions:
Sb (0.3628, 0.8628, 0.0000)
Tl (0.8196, 0.3196, 0.5000)
Sb (0.1372, 0.3628, 0.0000)
Tl (0.6804, 0.8196, 0.5000)
Tl (0.3196, 0.1804, 0.5000)
As (0.5000, 0.5000, 0.0000)
Tl (0.1804, 0.6804, 0.5000)
Sb (0.6372, 0.1372, 0.0000)
As (0.0000, 0.0000, 0.0000)
Sb (0.8628, 0.6372, 0.0000)

Values from the calculation:
Its crystal system is tetragonal. The calculation puts the formation energy from raw total energies at 0.6 eV per formula unit. The symmetry is No. 127. Its total energy is -3.40 eV/atom.

No. 11
# UPHRh

A relaxed structure of UPHRh (PBE-GGA, Alexandria via LeMat-Bulk).

Cell lengths 4.1625, 4.1621, 3.7419 Å; angles 90.00, 90.00, 120.00 degrees
Site moments in Bohr magnetons follow the coordinates.
Fractional positions:
H (0.2388, 0.4775, 0.3096)  0.00
P (0.9052, 0.8103, 0.8101)  -0.06
U (0.5719, 0.1438, 0.3099)  1.78
Rh (0.2385, 0.4770, 0.8095)  -0.10

Values from the calculation:
Its crystal system is hexagonal. The symmetry is No. 187. Its total energy is -7.60 eV/atom.

No. 12
# BaNbGa2O6

A relaxed structure of BaNbGa2O6 (PBE-GGA, Alexandria via LeMat-Bulk).

Cell lengths 5.3427, 5.3427, 7.0069 Å; angles 67.59, 67.59, 60.00 degrees
Site moments in Bohr magnetons follow the coordinates.
Fractional positions:
Ga (0.1782, 0.1782, 0.4653)  0.06
O (0.5610, 0.2161, 0.3332)  -0.01
Ga (0.8218, 0.8218, 0.5347)  0.06
O (0.7839, 0.1103, 0.6668)  -0.01
Ba (0.0000, 0.0000, 0.0000)  0.00
O (0.2161, 0.8897, 0.3332)  -0.01
O (0.4390, 0.7839, 0.6668)  -0.01
Nb (0.5000, 0.5000, 0.5000)  0.77
O (0.1103, 0.4390, 0.6668)  -0.01
O (0.8897, 0.5610, 0.3332)  -0.01

Values from the calculation:
Its crystal system is trigonal. The calculation puts the formation energy from raw total energies at -21.6 eV per formula unit. The symmetry is No. 148. Its total energy is -6.94 eV/atom.

Q: Number 10 is which compound?
A: Tl2Sb2As

What did the third record say?
# Nd3Sb

A relaxed structure of Nd3Sb (PBE-GGA, Alexandria via LeMat-Bulk).

Cell lengths 6.2930, 12.8714, 12.8714 Å; angles 90.00, 90.00, 90.00 degrees
Fractional positions:
Nd (0.2265, 0.3592, 0.4719)
Nd (0.4972, 0.2173, 0.6769)
Sb (0.2803, 0.4577, 0.7015)
Nd (0.2735, 0.1408, 0.0281)
Sb (0.7803, 0.2015, 0.0423)
Nd (0.5028, 0.3231, 0.2173)
Sb (0.7803, 0.7985, 0.9577)
Nd (0.4972, 0.7827, 0.3231)
Nd (0.9761, 0.8899, 0.4172)
Nd (0.0239, 0.4172, 0.1101)
Nd (0.7265, 0.9719, 0.1408)
Nd (0.4761, 0.9172, 0.6101)
Nd (0.5239, 0.6101, 0.0828)
Nd (0.9761, 0.1101, 0.5828)
Sb (0.2197, 0.0423, 0.7985)
Nd (0.0028, 0.7173, 0.1769)
Nd (0.7735, 0.4719, 0.6408)
Sb (0.2197, 0.9577, 0.2015)
Nd (0.7265, 0.0281, 0.8592)
Nd (0.7735, 0.5281, 0.3592)
Nd (0.5239, 0.3899, 0.9172)
Nd (0.2735, 0.8592, 0.9719)
Nd (0.2265, 0.6408, 0.5281)
Nd (0.9972, 0.8231, 0.7173)
Sb (0.7197, 0.7015, 0.5423)
Nd (0.0028, 0.2827, 0.8231)
Nd (0.9972, 0.1769, 0.2827)
Nd (0.0239, 0.5828, 0.8899)
Sb (0.2803, 0.5423, 0.2985)
Nd (0.4761, 0.0828, 0.3899)
Nd (0.5028, 0.6769, 0.7827)
Sb (0.7197, 0.2985, 0.4577)

Values from the calculation:
Its crystal system is tetragonal. The calculation puts the formation energy from raw total energies at -2.5 eV per formula unit. The symmetry is No. 86. For the energy above the most stable polymorph in this dataset, the calculation gives 0 meV/atom. Its total energy is -5.22 eV/atom.